1.
Computed, not measured: crystalline Ba2TePtN at its relaxed geometry at the GGA-PBE level of DFT.

Calculated values
Crystal system: tetragonal
N(E_F): 2.81 states/eV/f.u.
Raw total energy: -5.258 eV/atom
Energy relative to the elements, uncorrected: -0.9873 eV per atom

Lattice parameters (Å, degrees): 5.946 5.946 3.937 90.00 90.00 90.00
Space group P4/mmm (No. 123)
One atom of each set of equivalent atoms:
Ba1 0.000 0.500 0.000 (multiplicity 2)
Te1 0.000 0.000 0.500 (multiplicity 1)
Pt1 0.500 0.500 0.500 (multiplicity 1)
N1 0.500 0.500 0.000 (multiplicity 1)


2.
Computed, not measured: crystalline BaTePtN2 at its relaxed geometry at the GGA-PBE level of DFT.

Calculated values
Crystal system: tetragonal
E above lowest polymorph: 0.000 eV/atom
N(E_F): 2.55 states/eV/f.u.
Raw total energy: -4.798 eV/atom
Energy relative to the elements, uncorrected: 0.7536 eV per atom

Lattice parameters (Å, degrees): 4.463 4.463 5.516 90.00 90.00 90.00
Space group P4/mmm (No. 123)
One atom of each set of equivalent atoms:
Ba1 0.000 0.000 0.000 (multiplicity 1)
Te1 0.500 0.500 0.000 (multiplicity 1)
Pt1 0.500 0.500 0.500 (multiplicity 1)
N1 0.000 0.500 0.500 (multiplicity 2)


3.
Computed, not measured: crystalline BaTh2PtN4 at its relaxed geometry at the GGA-PBE level of DFT.

Calculated values
Crystal system: orthorhombic
N(E_F): 0.70 states/eV/f.u.
Raw total energy: -7.952 eV/atom
Energy relative to the elements, uncorrected: -0.9385 eV per atom

Lattice parameters (Å, degrees): 3.903 12.020 12.654 90.00 90.00 90.00
Space group Cmcm (No. 63)
One atom of each set of equivalent atoms:
Ba1 0.000 0.090 0.250 (multiplicity 4)
Th1 0.000 0.364 0.055 (multiplicity 8)
Pt1 0.000 0.190 0.750 (multiplicity 4)
N1 0.000 0.000 0.000 (multiplicity 4)
N2 0.000 0.250 0.594 (multiplicity 8)
N3 0.000 0.376 0.250 (multiplicity 4)


4.
Computed, not measured: crystalline Ba2TlPtN at its relaxed geometry at the GGA-PBE level of DFT.

Calculated values
Crystal system: tetragonal
N(E_F): 3.88 states/eV/f.u.
Raw total energy: -4.569 eV/atom
Energy relative to the elements, uncorrected: -0.4530 eV per atom

Lattice parameters (Å, degrees): 6.077 6.077 3.843 90.00 90.00 90.00
Space group P4/mmm (No. 123)
One atom of each set of equivalent atoms:
Ba1 0.000 0.500 0.000 (multiplicity 2)
Tl1 0.000 0.000 0.500 (multiplicity 1)
Pt1 0.500 0.500 0.500 (multiplicity 1)
N1 0.500 0.500 0.000 (multiplicity 1)


5.
Computed, not measured: crystalline Ba2ZnPtN at its relaxed geometry at the GGA-PBE level of DFT.

Calculated values
Crystal system: tetragonal
E above lowest polymorph: 0.016 eV/atom
N(E_F): 1.58 states/eV/f.u.
Raw total energy: -4.278 eV/atom
Energy relative to the elements, uncorrected: -0.3809 eV per atom

Lattice parameters (Å, degrees): 5.706 5.706 3.870 90.00 90.00 90.00
Space group P4/mmm (No. 123)
One atom of each set of equivalent atoms:
Ba1 0.000 0.500 0.000 (multiplicity 2)
Zn1 0.000 0.000 0.500 (multiplicity 1)
Pt1 0.500 0.500 0.500 (multiplicity 1)
N1 0.000 0.000 0.000 (multiplicity 1)


6.
Computed, not measured: crystalline Ba2ZnPtN at its relaxed geometry at the GGA-PBE level of DFT.

Calculated values
Crystal system: tetragonal
E above lowest polymorph: 0.000 eV/atom
N(E_F): 4.18 states/eV/f.u.
Raw total energy: -4.294 eV/atom
Energy relative to the elements, uncorrected: -0.3970 eV per atom

Lattice parameters (Å, degrees): 5.875 5.875 3.873 90.00 90.00 90.00
Space group P4/mmm (No. 123)
One atom of each set of equivalent atoms:
Ba1 0.000 0.500 0.000 (multiplicity 2)
Zn1 0.000 0.000 0.500 (multiplicity 1)
Pt1 0.500 0.500 0.500 (multiplicity 1)
N1 0.500 0.500 0.000 (multiplicity 1)


7.
Computed, not measured: crystalline BaPuN at its relaxed geometry at the GGA-PBE level of DFT.

Calculated values
Crystal system: orthorhombic
E above lowest polymorph: 0.131 eV/atom
N(E_F): 7.07 states/eV/f.u.
Raw total energy: -8.560 eV/atom
Energy relative to the elements, uncorrected: -0.3669 eV per atom

Lattice parameters (Å, degrees): 6.126 3.288 15.450 90.00 90.00 90.00
Space group Pnma (No. 62)
One atom of each set of equivalent atoms:
Ba1 0.250 0.250 0.081 (multiplicity 4)
Pu1 0.250 0.250 0.302 (multiplicity 4)
N1 0.001 0.250 0.749 (multiplicity 4)


8.
Computed, not measured: crystalline BaPu6N8 at its relaxed geometry at the GGA-PBE level of DFT.

Calculated values
Crystal system: trigonal
N(E_F): 29.19 states/eV/f.u.
Raw total energy: -11.305 eV/atom
Energy relative to the elements, uncorrected: -1.0041 eV per atom

Lattice parameters (Å, degrees): 9.0140 9.0140 3.4914 90.00 90.00 120.00
Space group P-3 (No. 147)
One atom of each set of equivalent atoms:
Ba1 0.0000 0.0000 0.0000 (multiplicity 1)
Pu1 0.1422 0.6941 0.2589 (multiplicity 6)
N1 0.0261 0.3357 0.2452 (multiplicity 6)
N2 0.3333 0.6667 0.7497 (multiplicity 2)


Number 7 is which compound?
BaPuN